(1)
Below is a relaxed structure of Tb2PuPb, with properties calculated at the PBE level.

abc: 3.952 3.952 7.436
angles: 90.00 90.00 90.00
Element x y z (fractional)
Tb 0.000 0.000 0.235
Tb 0.000 0.000 0.765
Pu 0.500 0.500 0.500
Pb 0.500 0.500 0.000

Summary:
total moment	6.9	μB per cell
energy of formation from the pure elements	-93.4	meV/atom
distance to the lowest polymorph of the same formula	9.29	kJ per mole of atoms
space group	P4/mmm, No. 123


(2)
Below is a relaxed structure of Al2ZnGaCu5, with properties calculated at the PBE level.

abc: 6.997 6.997 9.012
angles: 90.00 90.00 145.14
Element x y z (fractional)
Al 0.093 0.907 0.500
Al 0.127 0.873 0.838
Al 0.873 0.127 0.338
Al 0.907 0.093 0.000
Zn 0.398 0.602 0.631
Zn 0.602 0.398 0.131
Ga 0.222 0.778 0.139
Ga 0.778 0.222 0.639
Cu 0.036 0.964 0.231
Cu 0.290 0.710 0.405
Cu 0.317 0.683 0.895
Cu 0.409 0.591 0.157
Cu 0.497 0.503 0.396
Cu 0.503 0.497 0.896
Cu 0.591 0.409 0.657
Cu 0.683 0.317 0.395
Cu 0.710 0.290 0.905
Cu 0.964 0.036 0.731

Summary:
total moment	0.0	μB per cell
energy of formation from the pure elements	-82.8	meV/atom
space group	Cmc2_1, No. 36


(3)
Below is a relaxed structure of Ca2MnZnN, with properties calculated at the PBE level.

abc: 5.066 5.066 3.773
angles: 90.00 90.00 90.00
Element x y z (fractional)
Ca 0.000 0.500 0.000
Ca 0.500 0.000 0.000
Mn 0.000 0.000 0.500
Zn 0.500 0.500 0.500
N 0.000 0.000 0.000

Summary:
ΔE_f (raw)	-0.406	eV per atom
total moment	2.6	μB per cell
space group	P4/mmm, No. 123


(4)
Below is a relaxed structure of HfSc2TaC4, with properties calculated at the PBE level.

abc: 5.638 3.247 5.659
angles: 90.00 109.36 90.00
Element x y z (fractional)
Hf 0.000 0.000 0.000
Sc 0.000 0.500 0.500
Sc 0.500 0.000 0.500
Ta 0.500 0.500 0.000
C 0.253 0.500 0.239
C 0.260 0.000 0.763
C 0.740 0.000 0.237
C 0.747 0.500 0.761

Summary:
total moment	0.0	μB per cell
energy of formation from the pure elements	-639.5	meV/atom
space group	P2/m, No. 10


(5)
Below is a relaxed structure of Sc3BiB, with properties calculated at the PBE level.

abc: 8.801 8.801 8.801
angles: 60.00 60.00 60.00
Element x y z (fractional)
Sc 0.073 0.073 0.677
Sc 0.073 0.677 0.073
Sc 0.073 0.677 0.677
Sc 0.323 0.323 0.927
Sc 0.323 0.927 0.323
Sc 0.323 0.927 0.927
Sc 0.677 0.073 0.073
Sc 0.677 0.073 0.677
Sc 0.677 0.677 0.073
Sc 0.927 0.323 0.323
Sc 0.927 0.323 0.927
Sc 0.927 0.927 0.323
Bi 0.000 0.500 0.500
Bi 0.500 0.000 0.500
Bi 0.500 0.500 0.000
Bi 0.500 0.500 0.500
B 0.000 0.000 0.000
B 0.000 0.000 0.500
B 0.000 0.500 0.000
B 0.500 0.000 0.000

Summary:
total moment	0.0	μB per cell
energy of formation from the pure elements	-250.1	meV/atom
distance to the lowest polymorph of the same formula	30.52	kJ per mole of atoms
space group	Fd-3m, No. 227


(6)
Below is a relaxed structure of Sr5Zr, with properties calculated at the PBE level.

abc: 7.244 7.244 6.703
angles: 90.00 90.00 120.00
Element x y z (fractional)
Sr 0.000 0.500 0.000
Sr 0.333 0.667 0.500
Sr 0.500 0.000 0.000
Sr 0.500 0.500 0.000
Sr 0.667 0.333 0.500
Zr 0.000 0.000 0.500

Summary:
total moment	3.1	μB per cell
energy of formation from the pure elements	769.6	meV/atom
distance to the lowest polymorph of the same formula	45.28	kJ per mole of atoms
space group	P6/mmm, No. 191